Record 1
## Pm5Ir2Au (PBE)

Data for a relaxed structure of Pm5Ir2Au.

For the total magnetic moment, the calculation gives 0.00 μB/atom. The calculation puts the calculated total energy at -6.25 eV per atom. As for the energy relative to the elements: -659 meV/atom. Its space-group type is No. 140. Its calculated density is 10.22 g/cm3.

a = 8.8030 Å, b = 8.8030 Å, c = 8.8030 Å
α = 126.71°, β = 126.71°, γ = 78.73°
Closest atoms and distances in Å follow each position.
Element x y z (fractional)
Pm: 0.0000 0.0000 0.0000  4 Ir 3.07, 2 Au 3.40
Pm: 0.0275 0.5275 0.8277  3 Ir 2.91-3.02
Pm: 0.1998 0.0275 0.5000  3 Ir 2.91-3.02
Pm: 0.3002 0.8002 0.8277  3 Ir 2.91-3.02
Pm: 0.4725 0.3002 0.5000  3 Ir 2.91-3.02
Pm: 0.5000 0.5000 0.0000  4 Ir 3.07, 2 Au 3.40
Pm: 0.5275 0.6998 0.5000  3 Ir 2.91-3.02
Pm: 0.6998 0.1998 0.1723  3 Ir 2.91-3.02
Pm: 0.8002 0.9725 0.5000  3 Ir 2.91-3.02
Pm: 0.9725 0.4725 0.1723  3 Ir 2.91-3.02
Ir: 0.1359 0.3641 0.5000  8 Pm 2.91-3.07, 1 Ir 3.04
Ir: 0.3641 0.8641 0.2282  8 Pm 2.91-3.07, 1 Ir 3.04
Ir: 0.6359 0.1359 0.7718  8 Pm 2.91-3.07, 1 Ir 3.04
Ir: 0.8641 0.6359 0.5000  8 Pm 2.91-3.07, 1 Ir 3.04
Au: 0.2500 0.2500 0.0000  10 Pm 3.33-3.40
Au: 0.7500 0.7500 0.0000  10 Pm 3.33-3.40


Record 2
## Pm3IrAu (PBE)

Data for a relaxed structure of Pm3IrAu.

The value obtained for the energy above the most stable polymorph in this dataset is 0.00 eV/f.u. For the total magnetic moment, the calculation gives 0.00 μB/atom. The calculation puts the calculated total energy at -5.95 eV per atom. As for the energy relative to the elements: -676 meV/atom. Its space-group type is No. 62. Its calculated density is 10.04 g/cm3.

a = 7.6140 Å, b = 4.5904 Å, c = 15.5980 Å
α = 90.00°, β = 90.00°, γ = 90.00°
Closest atoms and distances in Å follow each position.
Element x y z (fractional)
Pm: 0.0156 0.2500 0.0997  3 Ir 2.94-2.96, 1 Au 3.28
Pm: 0.1339 0.7500 0.4465  3 Ir 2.93-3.05, 2 Au 3.20
Pm: 0.1761 0.2500 0.7199  1 Ir 2.82, 2 Au 3.08
Pm: 0.3239 0.7500 0.2199  1 Ir 2.82, 2 Au 3.08
Pm: 0.3661 0.2500 0.9465  3 Ir 2.93-3.05, 2 Au 3.20
Pm: 0.4844 0.7500 0.5997  3 Ir 2.94-2.96, 1 Au 3.28
Pm: 0.5156 0.2500 0.4003  3 Ir 2.94-2.96, 1 Au 3.28
Pm: 0.6339 0.7500 0.0535  3 Ir 2.93-3.05, 2 Au 3.20
Pm: 0.6761 0.2500 0.7801  1 Ir 2.82, 2 Au 3.08
Pm: 0.8239 0.7500 0.2801  1 Ir 2.82, 2 Au 3.08
Pm: 0.8661 0.2500 0.5535  3 Ir 2.93-3.05, 2 Au 3.20
Pm: 0.9844 0.7500 0.9003  3 Ir 2.94-2.96, 1 Au 3.28
Ir: 0.2341 0.7500 0.0444  7 Pm 2.82-3.05
Ir: 0.2659 0.2500 0.5444  7 Pm 2.82-3.05
Ir: 0.7341 0.7500 0.4556  7 Pm 2.82-3.05
Ir: 0.7659 0.2500 0.9556  7 Pm 2.82-3.05
Au: 0.1162 0.2500 0.3040  8 Pm 3.08-3.39
Au: 0.3838 0.7500 0.8040  8 Pm 3.08-3.39
Au: 0.6162 0.2500 0.1960  8 Pm 3.08-3.39
Au: 0.8838 0.7500 0.6960  8 Pm 3.08-3.39


Record 3
## Pm3IrAu (PBE)

Data for a relaxed structure of Pm3IrAu.

The value obtained for the energy above the most stable polymorph in this dataset is 0.43 eV/f.u. For the total magnetic moment, the calculation gives 0.00 μB/atom. The calculation puts the calculated total energy at -5.87 eV per atom. As for the energy relative to the elements: -590 meV/atom. Its space-group type is No. 63. Its calculated density is 9.49 g/cm3.

a = 8.9787 Å, b = 8.9787 Å, c = 7.3497 Å
α = 90.00°, β = 90.00°, γ = 76.68°
Closest atoms and distances in Å follow each position.
Element x y z (fractional)
Pm: 0.1270 0.1270 0.0000  2 Ir 2.82
Pm: 0.1270 0.1270 0.5000  2 Ir 2.82
Pm: 0.1980 0.5400 0.5028  2 Ir 2.84-2.92, 1 Au 3.17
Pm: 0.1980 0.5400 0.9972  2 Ir 2.84-2.92, 1 Au 3.17
Pm: 0.4600 0.8020 0.5028  2 Ir 2.84-2.92, 1 Au 3.17
Pm: 0.4600 0.8020 0.9972  2 Ir 2.84-2.92, 1 Au 3.17
Pm: 0.5400 0.1980 0.0028  2 Ir 2.84-2.92, 1 Au 3.17
Pm: 0.5400 0.1980 0.4972  2 Ir 2.84-2.92, 1 Au 3.17
Pm: 0.8020 0.4600 0.0028  2 Ir 2.84-2.92, 1 Au 3.17
Pm: 0.8020 0.4600 0.4972  2 Ir 2.84-2.92, 1 Au 3.17
Pm: 0.8730 0.8730 0.0000  2 Ir 2.82
Pm: 0.8730 0.8730 0.5000  2 Ir 2.82
Ir: 0.0621 0.3719 0.2500  6 Pm 2.82-2.92
Ir: 0.3719 0.0621 0.7500  6 Pm 2.82-2.92
Ir: 0.6281 0.9379 0.2500  6 Pm 2.82-2.92
Ir: 0.9379 0.6281 0.7500  6 Pm 2.82-2.92
Au: 0.1661 0.8339 0.2500  8 Pm 3.16-3.19
Au: 0.4935 0.5065 0.7500  8 Pm 3.17-3.28
Au: 0.5065 0.4935 0.2500  8 Pm 3.17-3.28
Au: 0.8339 0.1661 0.7500  8 Pm 3.16-3.19


Record 4
## Pm3IrAu2 (PBE)

Data for a relaxed structure of Pm3IrAu2.

The value obtained for the energy above the most stable polymorph in this dataset is 0.25 eV/f.u. For the total magnetic moment, the calculation gives 0.00 μB/atom. The calculation puts the calculated total energy at -5.64 eV per atom. As for the energy relative to the elements: -700 meV/atom. Its space-group type is No. 15. Its calculated density is 10.45 g/cm3.

a = 7.4743 Å, b = 7.4743 Å, c = 8.3269 Å
α = 106.17°, β = 106.17°, γ = 47.09°
Closest atoms and distances in Å follow each position.
Element x y z (fractional)
Pm: 0.0011 0.9989 0.7500  2 Ir 2.99, 4 Au 3.08-3.09
Pm: 0.3512 0.3534 0.9263  2 Ir 2.84, 4 Au 3.01-3.12
Pm: 0.3534 0.3512 0.4263  2 Ir 2.84, 4 Au 3.01-3.12
Pm: 0.6466 0.6488 0.5737  2 Ir 2.84, 4 Au 3.01-3.12
Pm: 0.6488 0.6466 0.0737  2 Ir 2.84, 4 Au 3.01-3.12
Pm: 0.9989 0.0011 0.2500  2 Ir 2.99, 4 Au 3.08-3.09
Ir: 0.4990 0.5010 0.2500  6 Pm 2.84-2.99
Ir: 0.5010 0.4990 0.7500  6 Pm 2.84-2.99
Au: 0.1733 0.1754 0.5870  6 Pm 3.01-3.12
Au: 0.1754 0.1733 0.0870  6 Pm 3.01-3.12
Au: 0.8246 0.8267 0.9130  6 Pm 3.01-3.12
Au: 0.8267 0.8246 0.4130  6 Pm 3.01-3.12


Record 5
## Pm7Ir2Au2 (PBE)

Data for a relaxed structure of Pm7Ir2Au2.

For the total magnetic moment, the calculation gives 0.00 μB/atom. The calculation puts the calculated total energy at -5.72 eV per atom. As for the energy relative to the elements: -485 meV/atom. Its space-group type is No. 65. Its calculated density is 9.20 g/cm3.

a = 6.8596 Å, b = 6.8596 Å, c = 7.1935 Å
α = 90.00°, β = 90.00°, γ = 106.97°
Closest atoms and distances in Å follow each position.
Element x y z (fractional)
Pm: 0.0000 0.0000 0.0000  2 Ir 3.18
Pm: 0.0000 0.5000 0.2578  2 Ir 2.79
Pm: 0.0000 0.5000 0.7422  2 Ir 2.79
Pm: 0.5000 0.0000 0.2578  2 Ir 2.79
Pm: 0.5000 0.0000 0.7422  2 Ir 2.79
Pm: 0.5000 0.5000 0.2505  2 Ir 2.95, 2 Au 3.12
Pm: 0.5000 0.5000 0.7495  2 Ir 2.95, 2 Au 3.12
Ir: 0.2885 0.7115 0.0000  6 Pm 2.79-2.95
Ir: 0.7115 0.2885 0.0000  6 Pm 2.79-2.95
Au: 0.1879 0.1879 0.5000  1 Au 3.07, 6 Pm 3.12-3.30
Au: 0.8121 0.8121 0.5000  1 Au 3.07, 6 Pm 3.12-3.30


Record 6
## Pm3IrAu2 (PBE)

Data for a relaxed structure of Pm3IrAu2.

The value obtained for the energy above the most stable polymorph in this dataset is 0.00 eV/f.u. For the total magnetic moment, the calculation gives 0.00 μB/atom. The calculation puts the calculated total energy at -5.69 eV per atom. As for the energy relative to the elements: -742 meV/atom. Its space-group type is No. 65. Its calculated density is 11.76 g/cm3.

a = 8.0792 Å, b = 8.0792 Å, c = 7.3278 Å
α = 90.00°, β = 90.00°, γ = 142.91°
Closest atoms and distances in Å follow each position.
Element x y z (fractional)
Pm: 0.0000 0.0000 0.2408  2 Ir 3.07, 6 Au 3.12-3.20
Pm: 0.0000 0.0000 0.7592  2 Ir 3.07, 6 Au 3.12-3.20
Pm: 0.3289 0.6711 0.2360  3 Ir 3.06-3.10, 5 Au 3.14-3.26
Pm: 0.3289 0.6711 0.7640  3 Ir 3.06-3.10, 5 Au 3.14-3.26
Pm: 0.6711 0.3289 0.2360  3 Ir 3.06-3.10, 5 Au 3.14-3.26
Pm: 0.6711 0.3289 0.7640  3 Ir 3.06-3.10, 5 Au 3.14-3.26
Ir: 0.1637 0.8363 0.0000  8 Pm 3.06-3.10
Ir: 0.8363 0.1637 0.0000  8 Pm 3.06-3.10
Au: 0.1668 0.8332 0.5000  8 Pm 3.15-3.22
Au: 0.5000 0.5000 0.0000  8 Pm 3.12-3.14
Au: 0.5000 0.5000 0.5000  8 Pm 3.20-3.26
Au: 0.8332 0.1668 0.5000  8 Pm 3.15-3.22


Record 7
## PmIrAu (PBE)

Data for a relaxed structure of PmIrAu.

The value obtained for the energy above the most stable polymorph in this dataset is 0.00 eV/f.u. For the total magnetic moment, the calculation gives 0.00 μB/atom. The calculation puts the calculated total energy at -6.06 eV per atom. As for the energy relative to the elements: -429 meV/atom. Its space-group type is No. 187. Its calculated density is 13.29 g/cm3.

a = 4.5651 Å, b = 4.5651 Å, c = 3.6982 Å
α = 90.00°, β = 90.00°, γ = 120.00°
Closest atoms and distances in Å follow each position.
Element x y z (fractional)
Pm: 0.0000 0.0000 0.0000  6 Au 3.22, 6 Ir 3.22
Ir: 0.6667 0.3333 0.5000  3 Au 2.64
Au: 0.3333 0.6667 0.5000  3 Ir 2.64


Record 8
## Pm2IrAu (PBE)

Data for a relaxed structure of Pm2IrAu.

The value obtained for the energy above the most stable polymorph in this dataset is 0.38 eV/f.u. For the total magnetic moment, the calculation gives 0.00 μB/atom. The calculation puts the calculated total energy at -6.09 eV per atom. As for the energy relative to the elements: -682 meV/atom. Its space-group type is No. 160. Its calculated density is 10.50 g/cm3.

a = 4.1532 Å, b = 4.1532 Å, c = 21.5677 Å
α = 90.00°, β = 90.00°, γ = 120.00°
Closest atoms and distances in Å follow each position.
Element x y z (fractional)
Pm: 0.0000 0.0000 0.0000  3 Ir 2.84, 3 Au 3.13
Pm: 0.0000 0.0000 0.1897  3 Ir 2.87, 3 Au 3.17
Pm: 0.3333 0.6667 0.6667  3 Ir 2.84, 3 Au 3.13
Pm: 0.3333 0.6667 0.8564  3 Ir 2.87, 3 Au 3.17
Pm: 0.6667 0.3333 0.3333  3 Ir 2.84, 3 Au 3.13
Pm: 0.6667 0.3333 0.5230  3 Ir 2.87, 3 Au 3.17
Ir: 0.0000 0.0000 0.5959  6 Pm 2.84-2.87
Ir: 0.3333 0.6667 0.2625  6 Pm 2.84-2.87
Ir: 0.6667 0.3333 0.9292  6 Pm 2.84-2.87
Au: 0.0000 0.0000 0.7600  6 Pm 3.13-3.17
Au: 0.3333 0.6667 0.4267  6 Pm 3.13-3.17
Au: 0.6667 0.3333 0.0934  6 Pm 3.13-3.17


Record 9
## Pm5Ir4Au (PBE)

Data for a relaxed structure of Pm5Ir4Au.

For the total magnetic moment, the calculation gives 0.00 μB/atom. The calculation puts the calculated total energy at -6.90 eV per atom. As for the energy relative to the elements: -651 meV/atom. Its space-group type is No. 123. Its calculated density is 12.42 g/cm3.

a = 3.5430 Å, b = 3.5430 Å, c = 18.0087 Å
α = 90.00°, β = 90.00°, γ = 90.00°
Closest atoms and distances in Å follow each position.
Element x y z (fractional)
Pm: 0.0000 0.0000 0.0000  8 Ir 3.06
Pm: 0.0000 0.0000 0.1937  8 Ir 3.04-3.10
Pm: 0.0000 0.0000 0.3858  4 Ir 3.00, 4 Au 3.24
Pm: 0.0000 0.0000 0.6142  4 Ir 3.00, 4 Au 3.24
Pm: 0.0000 0.0000 0.8063  8 Ir 3.04-3.10
Ir: 0.5000 0.5000 0.0980  8 Pm 3.04-3.06
Ir: 0.5000 0.5000 0.2946  8 Pm 3.00-3.10
Ir: 0.5000 0.5000 0.7054  8 Pm 3.00-3.10
Ir: 0.5000 0.5000 0.9020  8 Pm 3.04-3.06
Au: 0.5000 0.5000 0.5000  8 Pm 3.24, 4 Au 3.54


Record 10
## Pm5IrAu2 (PBE)

Data for a relaxed structure of Pm5IrAu2.

For the total magnetic moment, the calculation gives 0.00 μB/atom. The calculation puts the calculated total energy at -5.53 eV per atom. As for the energy relative to the elements: -636 meV/atom. Its space-group type is No. 55. Its calculated density is 9.87 g/cm3.

a = 7.7365 Å, b = 11.9951 Å, c = 4.7522 Å
α = 90.00°, β = 90.00°, γ = 90.00°
Closest atoms and distances in Å follow each position.
Element x y z (fractional)
Pm: 0.0000 0.0000 0.0000  4 Au 3.15
Pm: 0.1560 0.2949 0.0000  1 Ir 2.74
Pm: 0.1802 0.5823 0.5000  2 Ir 2.93, 2 Au 3.14
Pm: 0.3198 0.0823 0.5000  2 Ir 2.93, 2 Au 3.14
Pm: 0.3440 0.7949 0.0000  1 Ir 2.74
Pm: 0.5000 0.5000 0.0000  4 Au 3.15
Pm: 0.6560 0.2051 0.0000  1 Ir 2.74
Pm: 0.6802 0.9177 0.5000  2 Ir 2.93, 2 Au 3.14
Pm: 0.8198 0.4177 0.5000  2 Ir 2.93, 2 Au 3.14
Pm: 0.8440 0.7051 0.0000  1 Ir 2.74
Ir: 0.0000 0.5000 0.0000  6 Pm 2.74-2.93
Ir: 0.5000 0.0000 0.0000  6 Pm 2.74-2.93
Au: 0.0649 0.8330 0.5000  8 Pm 3.14-3.30
Au: 0.4351 0.3330 0.5000  8 Pm 3.14-3.30
Au: 0.5649 0.6670 0.5000  8 Pm 3.14-3.30
Au: 0.9351 0.1670 0.5000  8 Pm 3.14-3.30


Record 11
## PmSbIrAu (PBE)

Data for a relaxed structure of PmSbIrAu.

For the total magnetic moment, the calculation gives 0.00 μB/atom. The calculation puts the calculated total energy at -5.63 eV per atom. Its raw formation energy is -0.38 eV per atom. Its space-group type is No. 216. Its calculated density is 12.71 g/cm3.

a = 6.9994 Å, b = 6.9994 Å, c = 6.9994 Å
α = 90.00°, β = 90.00°, γ = 90.00°
Closest atoms and distances in Å follow each position.
Element x y z (fractional)
Pm: 0.0000 0.0000 0.0000  4 Ir 3.03, 4 Au 3.03
Pm: 0.0000 0.5000 0.5000  4 Ir 3.03, 4 Au 3.03
Pm: 0.5000 0.0000 0.5000  4 Ir 3.03, 4 Au 3.03
Pm: 0.5000 0.5000 0.0000  4 Ir 3.03, 4 Au 3.03
Sb: 0.0000 0.0000 0.5000  4 Au 3.03, 4 Ir 3.03
Sb: 0.0000 0.5000 0.0000  4 Au 3.03, 4 Ir 3.03
Sb: 0.5000 0.0000 0.0000  4 Au 3.03, 4 Ir 3.03
Sb: 0.5000 0.5000 0.5000  4 Au 3.03, 4 Ir 3.03
Ir: 0.2500 0.2500 0.2500  4 Sb 3.03, 4 Pm 3.03
Ir: 0.2500 0.7500 0.7500  4 Sb 3.03, 4 Pm 3.03
Ir: 0.7500 0.2500 0.7500  4 Sb 3.03, 4 Pm 3.03
Ir: 0.7500 0.7500 0.2500  4 Sb 3.03, 4 Pm 3.03
Au: 0.2500 0.2500 0.7500  4 Sb 3.03, 4 Pm 3.03
Au: 0.2500 0.7500 0.2500  4 Sb 3.03, 4 Pm 3.03
Au: 0.7500 0.2500 0.2500  4 Sb 3.03, 4 Pm 3.03
Au: 0.7500 0.7500 0.7500  4 Sb 3.03, 4 Pm 3.03


calculated total energy of number 11 (PmSbIrAu)?
-5.63 eV per atom


Which formula does entry 8 have?
Pm2IrAu